Entry 1:
Material: Ac3La4Pm2
Method: DFT, GGA-PBE
State: relaxed

The structure in POSCAR format:
```
Ac3La4Pm2
1.0
-5.754 2.755 0.761
-5.283 -8.949 2.916
-0.300 -0.710 10.766
Pm Ac La
4 6 8
direct
0.643 0.850 0.584
0.143 0.584 0.850
0.857 0.416 0.150
0.357 0.150 0.416
0.250 0.393 0.607
0.088 0.942 0.724
0.912 0.058 0.276
0.412 0.276 0.058
0.750 0.607 0.393
0.588 0.724 0.942
0.813 0.243 0.516
0.523 0.088 0.814
0.977 0.186 0.912
0.313 0.516 0.243
0.023 0.814 0.088
0.687 0.484 0.757
0.187 0.757 0.484
0.477 0.912 0.186
```

Output
space-group type	C2/c, No. 15
E_tot	-4.53	eV per atom
density of states at the Fermi level	1.756	states/eV per atom
energy of formation	0.09	eV per atom

Entry 2:
Material: AcLa4Pm10
Method: DFT, GGA-PBE
State: relaxed

The structure in POSCAR format:
```
AcLa4Pm10
1.0
-2.633 4.937 -4.045
-9.594 -1.500 -1.478
-3.253 7.526 5.410
Ac La Pm
1 4 10
direct
0.000 0.000 0.000
0.433 0.888 0.245
0.322 0.245 0.112
0.678 0.755 0.888
0.567 0.112 0.755
0.619 0.427 0.835
0.881 0.573 0.165
0.381 0.573 0.165
0.250 0.500 0.500
0.750 0.500 0.500
0.454 0.165 0.427
0.954 0.165 0.427
0.546 0.835 0.573
0.046 0.835 0.573
0.119 0.427 0.835
```

Output
space-group type	I4/m, No. 87
E_tot	-4.29	eV per atom
density of states at the Fermi level	1.786	states/eV per atom
energy of formation	0.47	eV per atom

Entry 3:
Material: AcLa5Pm5
Method: DFT, GGA-PBE
State: relaxed

The structure in POSCAR format:
```
AcLa5Pm5
1.0
-6.222 1.244 -0.697
3.104 -3.348 -4.460
-2.638 -10.010 5.678
La Ac Pm
5 1 5
direct
0.000 0.000 0.000
0.667 0.333 0.161
0.667 0.333 0.839
0.333 0.667 0.330
0.333 0.667 0.670
0.333 0.667 0.000
0.832 0.663 0.500
0.000 0.000 0.266
0.000 0.000 0.734
0.337 0.168 0.500
0.832 0.168 0.500
```

Output
space-group type	P-6m2, No. 187
E_tot	-4.54	eV per atom
density of states at the Fermi level	1.782	states/eV per atom
energy of formation	0.23	eV per atom